# MnAlMo2

A crystal of MnAlMo2 relaxed with PBEsol (meta-GGA SCAN, Alexandria via LeMat-Bulk).

Geometry as extended XYZ:
```
4
Lattice="2.677 0.000 0.000 0.000 4.036 0.000 0.000 0.000 5.132" Properties=species:S:1:pos:R:3 pbc="T T T"
Mn 0.000 0.000 0.000
Al 0.000 0.000 2.566
Mo 1.338 2.018 1.252
Mo 1.338 2.018 3.880
```

* total moment: 2.06 μB per cell
* volume: 55.5 Å³/cell
* ρ: 8.2 g/cm3
* total energy: -23.970 eV per atom